(1)
Computed, not measured: a relaxed structure of TbPm4PrNd2 at the GGA-PBE level of DFT.

a = 13.847 Å, b = 13.442 Å, c = 6.960 Å
α = 90.00°, β = 119.91°, γ = 90.00°
Space group C2/c (No. 15)
Unique sites:
Tb  0.000  0.000  0.000 (multiplicity 4)
Pm  0.001  0.246  0.001 (multiplicity 8)
Pm  0.247  0.000  0.456 (multiplicity 8)
Pr  0.250  0.250  0.000 (multiplicity 4)
Nd  0.000  0.500  0.000 (multiplicity 4)
Nd  0.250  0.250  0.500 (multiplicity 4)

Density of states at the Fermi level ... 78.596 states/eV per cell
ρ ... 6.9 g/cm³
Electronic total energy ... -4.368 eV/atom

(2)
Computed, not measured: a relaxed structure of TbPmPrNd at the GGA-PBE level of DFT.

a = 8.205 Å, b = 8.205 Å, c = 8.205 Å
α = 90.00°, β = 90.00°, γ = 90.00°
Space group F-43m (No. 216)
Unique sites:
Tb  0.000  0.000  0.000 (multiplicity 4)
Pm  0.000  0.000  0.500 (multiplicity 4)
Pr  0.250  0.250  0.750 (multiplicity 4)
Nd  0.250  0.250  0.250 (multiplicity 4)

Density of states at the Fermi level ... 37.466 states/eV per cell
ρ ... 7.1 g/cm³
Excess energy over the best structure of this formula in the dataset ... 0.45 eV per formula unit

(3)
Computed, not measured: a relaxed structure of Tb3PmPr2Nd6 at the GGA-PBE level of DFT.

a = 6.339 Å, b = 10.982 Å, c = 12.092 Å
α = 90.00°, β = 100.09°, γ = 90.00°
Space group C2/m (No. 12)
Unique sites:
Tb  0.000  0.000  0.000 (multiplicity 2)
Tb  0.000  0.333  0.000 (multiplicity 4)
Pm  0.000  0.500  0.500 (multiplicity 2)
Pr  0.000  0.167  0.500 (multiplicity 4)
Nd  0.248  0.500  0.246 (multiplicity 4)
Nd  0.249  0.166  0.246 (multiplicity 8)

Density of states at the Fermi level ... 34.656 states/eV per cell
ρ ... 7.1 g/cm³
Electronic total energy ... -4.720 eV/atom

(4)
Computed, not measured: a relaxed structure of Tb6Pm3Pr2Nd at the GGA-PBE level of DFT.

a = 6.282 Å, b = 10.882 Å, c = 11.919 Å
α = 90.00°, β = 100.09°, γ = 90.00°
Space group C2/m (No. 12)
Unique sites:
Tb  0.249  0.000  0.249 (multiplicity 4)
Tb  0.250  0.167  0.751 (multiplicity 8)
Pm  0.000  0.167  0.000 (multiplicity 4)
Pm  0.000  0.500  0.000 (multiplicity 2)
Pr  0.000  0.333  0.500 (multiplicity 4)
Nd  0.000  0.000  0.500 (multiplicity 2)

Density of states at the Fermi level ... 29.083 states/eV per cell
ρ ... 7.5 g/cm³
Electronic total energy ... -4.685 eV/atom

(5)
Computed, not measured: a relaxed structure of TbPm2Pr3Nd6 at the GGA-PBE level of DFT.

a = 6.371 Å, b = 11.035 Å, c = 12.186 Å
α = 90.00°, β = 100.10°, γ = 90.00°
Space group C2/m (No. 12)
Unique sites:
Tb  0.000  0.000  0.000 (multiplicity 2)
Pm  0.000  0.333  0.000 (multiplicity 4)
Pr  0.000  0.167  0.500 (multiplicity 4)
Pr  0.000  0.500  0.500 (multiplicity 2)
Nd  0.249  0.166  0.247 (multiplicity 8)
Nd  0.250  0.000  0.753 (multiplicity 4)

Density of states at the Fermi level ... 37.944 states/eV per cell
ρ ... 6.8 g/cm³
Electronic total energy ... -4.743 eV/atom

(6)
Computed, not measured: a relaxed structure of Tb2PmPr3Nd6 at the GGA-PBE level of DFT.

a = 6.359 Å, b = 11.016 Å, c = 12.157 Å
α = 90.00°, β = 100.09°, γ = 90.00°
Space group C2/m (No. 12)
Unique sites:
Tb  0.000  0.167  0.000 (multiplicity 4)
Pm  0.000  0.500  0.000 (multiplicity 2)
Pr  0.000  0.000  0.500 (multiplicity 2)
Pr  0.000  0.333  0.500 (multiplicity 4)
Nd  0.249  0.000  0.247 (multiplicity 4)
Nd  0.250  0.167  0.754 (multiplicity 8)

Density of states at the Fermi level ... 36.945 states/eV per cell
ρ ... 6.9 g/cm³
Electronic total energy ... -4.732 eV/atom

(7)
Computed, not measured: a relaxed structure of TbPm3Pr2Nd6 at the GGA-PBE level of DFT.

a = 6.359 Å, b = 11.015 Å, c = 12.171 Å
α = 90.00°, β = 100.10°, γ = 90.00°
Space group C2/m (No. 12)
Unique sites:
Tb  0.000  0.000  0.000 (multiplicity 2)
Pm  0.000  0.167  0.500 (multiplicity 4)
Pm  0.000  0.500  0.500 (multiplicity 2)
Pr  0.000  0.333  0.000 (multiplicity 4)
Nd  0.249  0.000  0.749 (multiplicity 4)
Nd  0.249  0.166  0.250 (multiplicity 8)

Density of states at the Fermi level ... 36.874 states/eV per cell
ρ ... 6.9 g/cm³
Electronic total energy ... -4.741 eV/atom

(8)
Computed, not measured: a relaxed structure of TbPmPr4Nd2 at the GGA-PBE level of DFT.

a = 13.942 Å, b = 13.497 Å, c = 6.987 Å
α = 90.00°, β = 119.80°, γ = 90.00°
Space group C2/c (No. 15)
Unique sites:
Tb  0.000  0.000  0.000 (multiplicity 4)
Pm  0.250  0.250  0.000 (multiplicity 4)
Pr  0.000  0.247  0.000 (multiplicity 8)
Pr  0.248  0.000  0.447 (multiplicity 8)
Nd  0.000  0.500  0.000 (multiplicity 4)
Nd  0.250  0.250  0.500 (multiplicity 4)

Density of states at the Fermi level ... 75.166 states/eV per cell
ρ ... 6.7 g/cm³
Electronic total energy ... -4.393 eV/atom

(9)
Computed, not measured: a relaxed structure of Tb2Pm3PrNd6 at the GGA-PBE level of DFT.

a = 6.339 Å, b = 10.978 Å, c = 12.116 Å
α = 90.00°, β = 100.08°, γ = 90.00°
Space group C2/m (No. 12)
Unique sites:
Tb  0.000  0.167  0.000 (multiplicity 4)
Pm  0.000  0.000  0.500 (multiplicity 2)
Pm  0.000  0.333  0.500 (multiplicity 4)
Pr  0.000  0.500  0.000 (multiplicity 2)
Nd  0.249  0.000  0.249 (multiplicity 4)
Nd  0.249  0.167  0.751 (multiplicity 8)

Density of states at the Fermi level ... 35.235 states/eV per cell
ρ ... 7.0 g/cm³
Electronic total energy ... -4.729 eV/atom

(10)
Computed, not measured: a relaxed structure of Tb6PmPr2Nd3 at the GGA-PBE level of DFT.

a = 6.293 Å, b = 10.901 Å, c = 11.923 Å
α = 90.00°, β = 100.10°, γ = 90.00°
Space group C2/m (No. 12)
Unique sites:
Tb  0.250  0.000  0.250 (multiplicity 4)
Tb  0.250  0.167  0.750 (multiplicity 8)
Pm  0.000  0.000  0.500 (multiplicity 2)
Pr  0.000  0.333  0.500 (multiplicity 4)
Nd  0.000  0.167  0.000 (multiplicity 4)
Nd  0.000  0.500  0.000 (multiplicity 2)

Density of states at the Fermi level ... 28.341 states/eV per cell
ρ ... 7.5 g/cm³
Electronic total energy ... -4.689 eV/atom

(11)
Computed, not measured: a relaxed structure of Tb2PmPrNd5 at the GGA-PBE level of DFT.

a = 5.758 Å, b = 20.580 Å, c = 10.696 Å
α = 90.00°, β = 90.00°, γ = 90.00°
Space group Cmc2_1 (No. 36)
Unique sites:
Tb  0.000  0.113  0.000 (multiplicity 4)
Tb  0.000  0.117  0.591 (multiplicity 4)
Pm  0.000  0.200  0.279 (multiplicity 4)
Pr  0.000  0.413  0.718 (multiplicity 4)
Nd  0.000  0.016  0.291 (multiplicity 4)
Nd  0.000  0.280  0.580 (multiplicity 4)
Nd  0.000  0.297  0.974 (multiplicity 4)
Nd  0.000  0.391  0.294 (multiplicity 4)
Nd  0.000  0.477  0.008 (multiplicity 4)

Density of states at the Fermi level ... 55.209 states/eV per cell
ρ ... 6.9 g/cm³
Electronic total energy ... -4.593 eV/atom

(12)
Computed, not measured: a relaxed structure of TbPm2Pr6Nd at the GGA-PBE level of DFT.

a = 9.302 Å, b = 15.475 Å, c = 10.024 Å
α = 90.00°, β = 99.38°, γ = 90.00°
Space group C2/c (No. 15)
Unique sites:
Tb  0.000  0.021  0.250 (multiplicity 4)
Pm  0.239  0.049  0.543 (multiplicity 8)
Pr  0.066  0.182  0.945 (multiplicity 8)
Pr  0.102  0.398  0.121 (multiplicity 8)
Pr  0.204  0.222  0.313 (multiplicity 8)
Nd  0.000  0.406  0.750 (multiplicity 4)

Density of states at the Fermi level ... 62.388 states/eV per cell
ρ ... 6.7 g/cm³
Electronic total energy ... -4.646 eV/atom